Entry 1:
The following is a GGA-PBEsol calculation of an optimized crystal structure of TiBeNi2O, from the Alexandria database.

## Properties
- ΔE_f (raw) (eV/atom) = 0.45
- symmetry = P4/mmm
- magnetization (Bohr magnetons per cell) = 0.6
- mass density (g/cm3) = 5.31
- Fermi-level density of states (states/eV per cell) = 3.734
- crystal system = tetragonal

abc: 3.6082 3.6082 4.5673
angles: 90.00 90.00 90.00
With the nearest neighbours (Å) after each atom.
Fractional positions:
Ni 0.0000 0.5000 0.0000  2 Be 1.80
Ni 0.5000 0.0000 0.0000  2 Be 1.80
Be 0.0000 0.0000 0.0000  4 Ni 1.80
O 0.5000 0.5000 0.5000  4 Ti 2.55
Ti 0.0000 0.0000 0.5000  2 Be 2.28, 4 O 2.55

***

Entry 2:
The following is a GGA-PBEsol calculation of an optimized crystal structure of Be2NiOs, from the Alexandria database.

## Properties
- symmetry = Imm2
- magnetization (Bohr magnetons per cell) = 0.0
- E_form (eV/atom) = -0.127
- mass density (g/cm3) = 11.03
- Fermi-level density of states (states/eV per cell) = 2.985
- crystal system = orthorhombic

abc: 2.7478 3.6981 4.5759
angles: 113.83 107.47 90.00
With the nearest neighbours (Å) after each atom.
Fractional positions:
Ni 0.4872 0.4872 0.9744  6 Be 2.31-2.33, 2 Os 2.49
Os 0.2501 0.7501 0.5002  6 Be 2.30-2.50, 2 Ni 2.49
Be 0.0135 0.0135 0.0269  4 Ni 2.31, 2 Be 2.32, 2 Os 2.50
Be 0.7493 0.2493 0.4985  4 Os 2.30, 2 Be 2.32, 2 Ni 2.33

***

Entry 3:
The following is a GGA-PBEsol calculation of an optimized crystal structure of BeNiOs, from the Alexandria database.

## Properties
- symmetry = F-43m
- magnetization (Bohr magnetons per cell) = 2.0
- E_form (eV/atom) = 0.805
- mass density (g/cm3) = 10.60
- Fermi-level density of states (states/eV per cell) = 1.247
- crystal system = cubic

abc: 3.8514 3.8514 3.8514
angles: 60.00 60.00 60.00
With the nearest neighbours (Å) after each atom.
Fractional positions:
Ni 0.5000 0.5000 0.5000  4 Os 2.36
Os 0.2500 0.2500 0.2500  4 Ni 2.36, 4 Be 2.36
Be 0.0000 0.0000 0.0000  4 Os 2.36

***

Entry 4:
The following is a GGA-PBEsol calculation of an optimized crystal structure of Be2NiOs, from the Alexandria database.

## Properties
- symmetry = Cmm2
- magnetization (Bohr magnetons per cell) = 0.0
- E_form (eV/atom) = 0.206
- mass density (g/cm3) = 10.15
- Fermi-level density of states (states/eV per cell) = 2.755
- crystal system = orthorhombic

abc: 2.5093 2.5093 7.5365
angles: 90.00 90.00 112.96
With the nearest neighbours (Å) after each atom.
Fractional positions:
Ni 0.0000 0.0000 0.5253  2 Be 2.17
Os 0.5000 0.5000 0.2401  2 Be 2.35, 4 Os 2.51, 2 Ni 2.56
Be 0.0000 0.0000 0.9880  6 Be 2.29-2.51, 2 Os 2.35
Be 0.5000 0.5000 0.7466  2 Ni 2.17, 2 Be 2.29

***

Entry 5:
The following is a GGA-PBEsol calculation of an optimized crystal structure of BeNiOs3, from the Alexandria database.

## Properties
- symmetry = Pm-3m
- magnetization (Bohr magnetons per cell) = 0.0
- E_form (eV/atom) = 0.987
- mass density (g/cm3) = 16.40
- Fermi-level density of states (states/eV per cell) = 3.598
- crystal system = cubic

abc: 4.0133 4.0133 4.0133
angles: 90.00 90.00 90.00
With the nearest neighbours (Å) after each atom.
Fractional positions:
Ni 0.5000 0.5000 0.5000  12 Os 2.84
Os 0.0000 0.5000 0.0000  2 Be 2.01
Os 0.0000 0.0000 0.5000  2 Be 2.01
Os 0.5000 0.0000 0.0000  2 Be 2.01
Be 0.0000 0.0000 0.0000  6 Os 2.01

***

Entry 6:
The following is a GGA-PBEsol calculation of an optimized crystal structure of Be2NiOs, from the Alexandria database.

## Properties
- symmetry = P4mm
- magnetization (Bohr magnetons per cell) = 0.0
- E_form (eV/atom) = -0.110
- mass density (g/cm3) = 11.18
- Fermi-level density of states (states/eV per cell) = 3.286
- crystal system = tetragonal

abc: 2.6889 2.6889 5.4818
angles: 90.00 90.00 90.00
With the nearest neighbours (Å) after each atom.
Fractional positions:
Ni 0.0000 0.0000 0.4560  5 Be 2.25-2.31
Os 0.5000 0.5000 0.7728  5 Be 2.38-2.55, 4 Ni 2.57
Be 0.0000 0.0000 0.0338  4 Be 2.20, 1 Ni 2.31, 4 Os 2.38
Be 0.5000 0.5000 0.2374  4 Be 2.20, 4 Ni 2.25

***

Entry 7:
The following is a GGA-PBEsol calculation of an optimized crystal structure of Be2NiOs, from the Alexandria database.

## Properties
- symmetry = R3m
- magnetization (Bohr magnetons per cell) = 0.0
- E_form (eV/atom) = 0.145
- mass density (g/cm3) = 10.08
- Fermi-level density of states (states/eV per cell) = 2.773
- crystal system = trigonal

abc: 2.5720 2.5720 7.8186
angles: 80.53 80.53 60.00
With the nearest neighbours (Å) after each atom.
Fractional positions:
Ni 0.4940 0.4940 0.5181  3 Be 2.28
Os 0.2513 0.2513 0.2460  3 Be 2.45, 3 Ni 2.56, 6 Os 2.57
Be 0.0025 0.0025 0.9924  9 Be 2.42-2.57, 3 Os 2.45
Be 0.7521 0.7521 0.7436  3 Ni 2.28, 3 Be 2.42

***

Entry 8:
The following is a GGA-PBEsol calculation of an optimized crystal structure of BeNiP4, from the Alexandria database.

## Properties
- symmetry = F-43m
- magnetization (Bohr magnetons per cell) = 0.0
- E_form (eV/atom) = 0.757
- mass density (g/cm3) = 4.02
- Fermi-level density of states (states/eV per cell) = 3.157
- crystal system = cubic

abc: 4.8183 4.8183 4.8183
angles: 60.00 60.00 60.00
With the nearest neighbours (Å) after each atom.
Fractional positions:
Ni 0.0000 0.0000 0.0000  12 P 2.83, 4 Be 2.95
Be 0.7500 0.7500 0.7500  12 P 2.82, 4 Ni 2.95
P 0.3751 0.3751 0.3751  6 P 2.41
P 0.3751 0.3751 0.8748  6 P 2.41
P 0.8748 0.3751 0.3751  6 P 2.41
P 0.3751 0.8748 0.3751  6 P 2.41

***

Entry 9:
The following is a GGA-PBEsol calculation of an optimized crystal structure of BeNiP2, from the Alexandria database.

## Properties
- symmetry = I4/mmm
- magnetization (Bohr magnetons per cell) = 0.0
- E_form (eV/atom) = 0.182
- mass density (g/cm3) = 4.73
- Fermi-level density of states (states/eV per cell) = 2.529
- crystal system = tetragonal

abc: 3.6979 4.2339 3.6979
angles: 64.11 90.00 115.89
With the nearest neighbours (Å) after each atom.
Fractional positions:
Ni 0.0000 0.0000 0.0000  8 P 2.49, 4 Be 2.61
Be 0.5000 0.0000 0.5000  8 P 2.49, 4 Ni 2.61
P 0.2500 0.5000 0.2500  4 Be 2.49, 4 Ni 2.49, 4 P 2.61
P 0.7500 0.5000 0.7500  4 Be 2.49, 4 Ni 2.49, 4 P 2.61

***

Entry 10:
The following is a GGA-PBEsol calculation of an optimized crystal structure of Be2NiP, from the Alexandria database.

## Properties
- symmetry = P4mm
- magnetization (Bohr magnetons per cell) = 0.0
- E_form (eV/atom) = -0.144
- mass density (g/cm3) = 4.58
- Fermi-level density of states (states/eV per cell) = 1.203
- crystal system = tetragonal

abc: 2.9521 2.9521 4.4763
angles: 90.00 90.00 90.00
With the nearest neighbours (Å) after each atom.
Fractional positions:
Ni 0.0000 0.0000 0.5004  6 Be 2.22-2.38, 4 P 2.37
Be 0.0000 0.0000 0.0045  2 Ni 2.22-2.26, 4 Be 2.35, 4 P 2.38
Be 0.5000 0.5000 0.2440  2 P 2.21-2.27, 4 Be 2.35, 4 Ni 2.38
P 0.5000 0.5000 0.7511  6 Be 2.21-2.38, 4 Ni 2.37

***

Entry 11:
The following is a GGA-PBEsol calculation of an optimized crystal structure of Be2NiP, from the Alexandria database.

## Properties
- symmetry = Pmm2
- magnetization (Bohr magnetons per cell) = 0.0
- E_form (eV/atom) = -0.168
- mass density (g/cm3) = 4.64
- Fermi-level density of states (states/eV per cell) = 1.159
- crystal system = orthorhombic

abc: 2.6862 3.6345 3.9490
angles: 90.00 90.00 90.00
With the nearest neighbours (Å) after each atom.
Fractional positions:
Ni 0.5000 0.0000 0.5356  2 P 2.26, 8 Be 2.34-2.43
Be 0.0000 0.0000 0.0491  2 Be 2.24, 4 P 2.33, 4 Ni 2.34-2.43
Be 0.0000 0.5000 0.7188  2 Be 2.24, 4 P 2.32-2.46, 4 Ni 2.37
P 0.5000 0.5000 0.1964  2 Ni 2.26, 8 Be 2.32-2.46

***

Entry 12:
The following is a GGA-PBEsol calculation of an optimized crystal structure of BeNiP2, from the Alexandria database.

## Properties
- symmetry = C2/m
- magnetization (Bohr magnetons per cell) = 0.0
- E_form (eV/atom) = -0.051
- mass density (g/cm3) = 4.58
- Fermi-level density of states (states/eV per cell) = 1.414
- crystal system = monoclinic

abc: 2.7906 3.5551 5.3440
angles: 104.04 90.00 113.11
With the nearest neighbours (Å) after each atom.
Fractional positions:
Ni 0.0000 0.0000 0.5000  6 P 2.29-2.35
Be 0.5000 0.0000 0.0000  6 P 2.29-2.39
P 0.7518 0.5035 0.7481  3 Be 2.29-2.39, 3 Ni 2.29-2.35
P 0.2482 0.4965 0.2519  3 Be 2.29-2.39, 3 Ni 2.29-2.35